Record 1
{"formula": "TlGaSbAu2", "functional": "PBE-GGA", "state": "optimized geometry", "formation_energy_uncorrected_ev_per_atom": -0.074, "spacegroup": "C2/m, No. 12", "lattice_angstrom": [[7.7208, -2.2246, 0.0000], [7.7208, 2.2246, 0.0000], [-4.1754, 0.0000, 7.1852]], "species": ["Tl", "Tl", "Ga", "Ga", "Sb", "Sb", "Au", "Au", "Au", "Au"], "fractional_positions": [[0.2457, 0.2457, 0.3268], [0.7543, 0.7543, 0.6732], [0.4470, 0.4470, 0.7722], [0.5530, 0.5530, 0.2278], [0.1318, 0.1318, 0.8130], [0.8682, 0.8682, 0.1870], [0.0769, 0.0769, 0.4272], [0.3584, 0.3584, 0.9762], [0.6416, 0.6416, 0.0238], [0.9231, 0.9231, 0.5728]]}

Record 2
{"formula": "ZnGa2SbAu", "functional": "PBE-GGA", "state": "optimized geometry", "formation_energy_uncorrected_ev_per_atom": 0.329, "spacegroup": "P4/mmm, No. 123", "lattice_angstrom": [[4.9065, 0.0000, 0.0000], [0.0000, 4.9065, 0.0000], [0.0000, 0.0000, 5.6894]], "species": ["Zn", "Ga", "Ga", "Sb", "Au"], "fractional_positions": [[0.0000, 0.0000, 0.0000], [0.0000, 0.5000, 0.5000], [0.5000, 0.0000, 0.5000], [0.5000, 0.5000, 0.0000], [0.5000, 0.5000, 0.5000]]}

Record 3
{"formula": "ZrGaSbAu2", "functional": "PBE-GGA", "state": "optimized geometry", "formation_energy_uncorrected_ev_per_atom": 0.190, "spacegroup": "P4/mmm, No. 123", "lattice_angstrom": [[4.7540, 0.0000, 0.0000], [0.0000, 4.7540, 0.0000], [0.0000, 0.0000, 5.2234]], "species": ["Zr", "Ga", "Sb", "Au", "Au"], "fractional_positions": [[0.0000, 0.0000, 0.0000], [0.0000, 0.0000, 0.5000], [0.5000, 0.5000, 0.0000], [0.0000, 0.5000, 0.5000], [0.5000, 0.0000, 0.5000]]}

Record 4
{"formula": "Sc5Ga2Au", "functional": "PBE-GGA", "state": "optimized geometry", "spacegroup": "I4/mcm, No. 140", "formation_enthalpy_0k_ev_per_atom": -0.558, "lattice_angstrom": [[-3.5376, 3.5376, 6.7408], [3.5376, -3.5376, 6.7408], [3.5376, 3.5376, -6.7408]], "species": ["Sc", "Sc", "Sc", "Sc", "Sc", "Sc", "Sc", "Sc", "Sc", "Sc", "Ga", "Ga", "Ga", "Ga", "Au", "Au"], "fractional_positions": [[0.0000, 0.0000, 0.0000], [0.0215, 0.5215, 0.8382], [0.1833, 0.0215, 0.5000], [0.3167, 0.8167, 0.8382], [0.4785, 0.3167, 0.5000], [0.5000, 0.5000, 0.0000], [0.5215, 0.6833, 0.5000], [0.6833, 0.1833, 0.1618], [0.8167, 0.9785, 0.5000], [0.9785, 0.4785, 0.1618], [0.1273, 0.3727, 0.5000], [0.3727, 0.8727, 0.2454], [0.6273, 0.1273, 0.7546], [0.8727, 0.6273, 0.5000], [0.2500, 0.2500, 0.0000], [0.7500, 0.7500, 0.0000]]}

Number 1: total moment 0.00 μB/f.u.. Number 2: total moment 0.00 μB/f.u.. Number 3: total moment 0.00 μB/f.u.. Number 4: total moment 0.00 μB/f.u..